(1)
VASP calculation (PBE) on a relaxed structure of Ca2Hg6Au.

Values from the calculation:
- E_form (eV/f.u.) = -2.1
- energy (eV per formula unit) = -11.2
- space-group type = Cmmm (65)
- mass density (g/cm³) = 10.3

Lattice parameters (Å, degrees): 3.706 8.255 8.805 117.95 90.00 90.00
Fractional positions:
Au  0.000  0.000  0.000
Hg  0.500  0.316  0.000
Hg  0.000  0.037  0.695
Hg  0.000  0.658  0.695
Hg  0.000  0.963  0.305
Hg  0.500  0.684  0.000
Hg  0.000  0.342  0.305
Ca  0.500  0.300  0.600
Ca  0.500  0.700  0.400



(2)
VASP calculation (PBE) on a relaxed structure of Ca2HgAu.

Values from the calculation:
- E_form (eV/f.u.) = -2.2
- energy (eV per formula unit) = -9.8
- space-group type = P4mm (99)
- mass density (g/cm³) = 6.9

Lattice parameters (Å, degrees): 4.266 4.266 6.287 90.00 90.00 90.00
Fractional positions:
Au  0.500  0.500  0.824
Ca  0.000  0.000  0.919
Ca  0.500  0.500  0.322
Hg  0.000  0.000  0.435



(3)
VASP calculation (PBE) on a relaxed structure of Ca2HgAu.

Values from the calculation:
- E_form (eV/f.u.) = -1.6
- energy (eV per formula unit) = -9.2
- space-group type = F-43m (216)
- mass density (g/cm³) = 8.4

Lattice parameters (Å, degrees): 5.118 5.118 5.118 60.00 60.00 60.00
Fractional positions:
Hg  0.750  0.750  0.750
Ca  0.000  0.000  0.000
Ca  0.250  0.250  0.250
Au  0.500  0.500  0.500



(4)
VASP calculation (PBE) on a relaxed structure of Ca3Hg2Au.

Values from the calculation:
- E_form (eV/f.u.) = -3.7
- energy (eV per formula unit) = -13.6
- space-group type = P-3m1 (164)
- mass density (g/cm³) = 7.6

Lattice parameters (Å, degrees): 5.281 5.281 6.481 90.00 90.00 120.00
Fractional positions:
Ca  0.333  0.667  0.156
Ca  0.000  0.000  0.500
Ca  0.667  0.333  0.844
Au  0.000  0.000  0.000
Hg  0.333  0.667  0.658
Hg  0.667  0.333  0.342